Entry from Alexandria: crystalline Pm6SeS5 at its relaxed geometry (PBE-GGA).

extended XYZ file:
```
12
Lattice="-6.387 -2.057 2.137 5.728 -1.922 3.618 -0.295 6.795 1.791" Properties=species:S:1:pos:R:3 pbc="T T T"
Pm -2.321 0.724 1.696
Se 0.000 0.000 0.000
S -4.562 1.362 3.274
Pm -2.782 2.046 5.343
S 3.608 1.453 4.273
Pm 1.367 2.092 5.851
Pm -0.567 -1.203 4.745
Pm 1.828 0.770 2.203
S 1.693 -1.967 3.125
Pm -0.387 4.019 2.801
S -2.353 -2.012 2.630
S -0.477 1.408 3.773
```

Results
volume	284.29	Å³/cell
energy relative to the elements, uncorrected	-2001	meV per atom

=====

Entry from Alexandria: crystalline Li2Al at its relaxed geometry (PBE-GGA).

extended XYZ file:
```
3
Lattice="2.734 0.000 0.000 0.000 4.338 0.000 -1.367 -2.169 4.223" Properties=species:S:1:pos:R:3 pbc="T T T"
Li 1.367 2.169 1.359
Al 0.000 0.000 0.000
Li 0.000 0.000 2.865
```

Results
volume	50.09	Å³/cell
ΔE_f	-0.114	eV per atom

=====

Among the records above, which one has the lowest volume?
Li2Al